Entry from Alexandria via LeMat-Bulk: a geometry-optimized LaPmEr3Sc structure (PBE).

- total magnetic moment (μB/cell) = 0.1
- calculated density (g cm⁻³) = 7.36
- energy of formation from the pure elements (eV per atom) = 0.0498

a b c (Å): 5.0073 14.9360 10.0242
angles (deg): 90.00 90.00 90.00
Last column: nearest neighbours and their distance in Å.
Space group Cmcm (No. 63)
Asymmetric unit:
La  0.0000  0.0018  0.2500 x4  4 Pm 3.54, 2 Sc 3.55, 6 Er 3.55-3.61
Pm  0.0000  0.5000  0.0000 x4  4 La 3.54, 6 Er 3.56-3.59, 2 Sc 3.57
Er  0.0000  0.1699  0.5008 x8  5 Er 3.45-3.54, 3 Sc 3.46-3.55, 2 La 3.55-3.58, 2 Pm 3.56
Er  0.0000  0.3281  0.2500 x4  2 Sc 3.44, 6 Er 3.45-3.54, 2 Pm 3.59, 2 La 3.61
Sc  0.0000  0.3297  0.7500 x4  8 Er 3.44-3.55, 2 La 3.55, 2 Pm 3.57